Record 1
DFT (meta-GGA SCAN) results for MnPbS2 at its PBEsol-relaxed geometry.

The space group is R-3m (No. 166, hexagonal axes) and the conventional cell measures 3.3178, 3.3178 and 24.9664 Å, with angles of 90.00, 90.00 and 120.00 degrees. Symmetry generates all atoms from Mn at (0.0000, 0.0000, 0.0000), Pb at (0.0000, 0.0000, 0.5000) and S at (0.0000, 0.0000, 0.3843).

As for the crystal system: trigonal. For the total energy, the calculation gives -28.983 eV per atom.

---

Record 2
DFT (meta-GGA SCAN) results for CaHgPb2 at its PBEsol-relaxed geometry.

The space group is P2/m (No. 10) and the conventional cell measures 3.451, 5.424 and 5.952 Å, with angles of 90.00, 94.49 and 90.00 degrees. Symmetry generates all atoms from Ca at (0.000, 0.000, 0.000), Hg at (0.500, 0.000, 0.500) and Pb at (0.331, 0.500, 0.745).

As for the crystal system: monoclinic. Its formation energy is -0.31 eV/atom.

---

Record 3
DFT (meta-GGA SCAN) results for Zn2InRe at its PBEsol-relaxed geometry.

The space group is P4mm (No. 99) and the conventional cell measures 2.782, 2.782 and 8.331 Å, with angles of 90.00, 90.00 and 90.00 degrees. Symmetry generates all atoms from Zn at (0.000, 0.000, 0.000), Zn at (0.500, 0.500, 0.224), In at (0.500, 0.500, 0.713) and Re at (0.000, 0.000, 0.449).

As for the crystal system: tetragonal. Its formation energy is 0.45 eV/atom.

---

Record 4
DFT (meta-GGA SCAN) results for ScRuPb2 at its PBEsol-relaxed geometry.

The space group is P4/mmm (No. 123) and the conventional cell measures 3.362, 3.362 and 7.161 Å, with angles of 90.00, 90.00 and 90.00 degrees. Symmetry generates all atoms from Sc at (0.000, 0.000, 0.000), Ru at (0.000, 0.000, 0.500) and Pb at (0.500, 0.500, 0.276).

Its offset from the most stable computed form is 0 meV per atom. As for the crystal system: tetragonal. Its formation energy is 0.04 eV/atom.

---

Number 1: volume 19.83 Å³/atom, density of states at the Fermi level 5.2 states/eV per cell. Number 2: volume 27.76 Å³/atom, density of states at the Fermi level 1.8 states/eV per cell. Number 3: volume 16.12 Å³/atom, density of states at the Fermi level 2.8 states/eV per cell. Number 4: volume 20.23 Å³/atom, density of states at the Fermi level 2.9 states/eV per cell.